# Nd3In5S12

An optimized crystal structure of Nd3In5S12 (PBE-GGA, the Alexandria database).

Summary:
As for the calculated density: 4.599 g/cm3. The value obtained for the total magnetization is 0.00 Bohr magnetons per cell. For the volume, the calculation gives 2009.7 Å³ per cell. For the total energy, the calculation gives -4.985 eV/atom.

POSCAR file:
```
Nd3In5S12
1.0
-7.950 7.950 7.950
7.950 -7.950 7.950
7.950 7.950 -7.950
Nd In S
12 20 48
Direct
0.125 0.250 0.375
0.125 0.375 0.750
0.250 0.375 0.125
0.250 0.875 0.625
0.375 0.125 0.250
0.375 0.750 0.125
0.625 0.250 0.875
0.625 0.875 0.750
0.750 0.125 0.375
0.750 0.625 0.875
0.875 0.625 0.250
0.875 0.750 0.625
0.000 0.000 0.000
0.000 0.000 0.500
0.000 0.500 0.000
0.000 0.500 0.500
0.125 0.750 0.875
0.125 0.875 0.250
0.250 0.125 0.875
0.250 0.625 0.375
0.375 0.250 0.625
0.375 0.625 0.750
0.500 0.000 0.000
0.500 0.000 0.500
0.500 0.500 0.000
0.500 0.500 0.500
0.625 0.375 0.250
0.625 0.750 0.375
0.750 0.375 0.625
0.750 0.875 0.125
0.875 0.125 0.750
0.875 0.250 0.125
0.040 0.215 0.128
0.040 0.326 0.912
0.086 0.715 0.674
0.086 0.872 0.412
0.088 0.628 0.414
0.088 0.960 0.674
0.128 0.040 0.215
0.128 0.588 0.914
0.174 0.215 0.586
0.174 0.460 0.588
0.215 0.128 0.040
0.215 0.586 0.174
0.285 0.326 0.914
0.285 0.460 0.372
0.326 0.912 0.040
0.326 0.914 0.285
0.372 0.285 0.460
0.372 0.586 0.912
0.412 0.086 0.872
0.412 0.826 0.540
0.414 0.088 0.628
0.414 0.826 0.785
0.460 0.372 0.285
0.460 0.588 0.174
0.540 0.412 0.826
0.540 0.628 0.715
0.586 0.174 0.215
0.586 0.912 0.372
0.588 0.174 0.460
0.588 0.914 0.128
0.628 0.414 0.088
0.628 0.715 0.540
0.674 0.086 0.715
0.674 0.088 0.960
0.715 0.540 0.628
0.715 0.674 0.086
0.785 0.414 0.826
0.785 0.872 0.960
0.826 0.540 0.412
0.826 0.785 0.414
0.872 0.412 0.086
0.872 0.960 0.785
0.912 0.040 0.326
0.912 0.372 0.586
0.914 0.128 0.588
0.914 0.285 0.326
0.960 0.674 0.088
0.960 0.785 0.872
```